No. 1
A plane-wave DFT calculation with GGA-PBE was carried out for a relaxed structure of RbCuTcTeSe2.

Unit cell a=3.7903 b=16.2701 c=10.1720 alpha=90.00 beta=90.00 gamma=90.00
With the nearest neighbours (Å) after each atom.
Space group Cmcm (No. 63)
One atom of each set of equivalent atoms:
Rb (0.0000, 0.2298, 0.2500) [4 per cell]  4 Se 3.47, 2 Cu 3.69, 2 Te 3.72, 2 Rb 3.79
Cu (0.0000, 0.4647, 0.7500) [4 per cell]  2 Se 2.39, 2 Te 2.59
Tc (0.0000, 0.0000, 0.0000) [4 per cell]  4 Se 2.60, 2 Te 2.81
Te (0.0000, 0.0736, 0.7500) [4 per cell]  2 Cu 2.59, 2 Tc 2.81
Se (0.0000, 0.3939, 0.5445) [8 per cell]  1 Cu 2.39, 2 Tc 2.60

Output
VASP energy: -4.57 eV per atom

=====

No. 2
A plane-wave DFT calculation with GGA-PBE was carried out for a relaxed structure of RbCuTcTe2Se.

Unit cell a=3.9202 b=16.4079 c=10.1871 alpha=90.00 beta=90.00 gamma=90.00
With the nearest neighbours (Å) after each atom.
Space group Cmcm (No. 63)
One atom of each set of equivalent atoms:
Rb (0.0000, 0.2437, 0.2500) [4 per cell]  6 Te 3.63-3.70, 2 Se 3.63, 2 Rb 3.92
Cu (0.0000, 0.0292, 0.7500) [4 per cell]  2 Se 2.42, 2 Te 2.56
Tc (0.0000, 0.5000, 0.0000) [4 per cell]  2 Se 2.72, 4 Te 2.76
Te (0.0000, 0.1160, 0.5406) [8 per cell]  1 Cu 2.56, 2 Tc 2.76
Se (0.0000, 0.4426, 0.7500) [4 per cell]  2 Cu 2.42

Output
VASP energy: -4.41 eV per atom

=====

No. 3
A plane-wave DFT calculation with GGA-PBE was carried out for a relaxed structure of RbCu2TeSe.

Unit cell a=4.0196 b=4.0196 c=15.1970 alpha=90.00 beta=90.00 gamma=90.00
With the nearest neighbours (Å) after each atom.
Space group I4mm (No. 107)
One atom of each set of equivalent atoms:
Rb (0.0000, 0.0000, 0.0000) [2 per cell]  4 Se 3.46, 4 Te 3.78
Cu (0.0000, 0.5000, 0.2246) [4 per cell]  2 Se 2.47, 2 Te 2.63
Te (0.0000, 0.0000, 0.3363) [2 per cell]  4 Cu 2.63
Se (0.0000, 0.0000, 0.6298) [2 per cell]  4 Cu 2.47

Output
VASP energy: -3.49 eV per atom

=====

No. 4
A plane-wave DFT calculation with GGA-PBE was carried out for a relaxed structure of Rb2Cu2TeSe.

Unit cell a=5.1574 b=5.3253 c=15.5532 alpha=90.00 beta=90.00 gamma=90.00
With the nearest neighbours (Å) after each atom.
Space group Amm2 (No. 38)
One atom of each set of equivalent atoms:
Rb (0.0000, 0.0000, 0.0000) [2 per cell]  4 Cu 3.60, 1 Te 3.63, 4 Se 3.71
Rb (0.5000, 0.0000, 0.2855) [2 per cell]  1 Se 3.49, 4 Te 3.72, 4 Cu 3.80
Cu (0.2517, 0.0000, 0.6321) [4 per cell]  1 Se 2.29, 1 Te 2.46, 1 Cu 2.56
Te (0.0000, 0.0000, 0.7667) [2 per cell]  2 Cu 2.46
Se (0.5000, 0.0000, 0.5098) [2 per cell]  2 Cu 2.29

Output
VASP energy: -3.31 eV per atom

=====

No. 5
A plane-wave DFT calculation with GGA-PBE was carried out for a relaxed structure of RbTm2CuTeSe3.

Unit cell a=4.1649 b=14.3825 c=14.6435 alpha=90.00 beta=90.00 gamma=90.00
With the nearest neighbours (Å) after each atom.
Space group Cmcm (No. 63)
One atom of each set of equivalent atoms:
Rb (0.0000, 0.1280, 0.2500) [4 per cell]  4 Se 3.40, 2 Te 3.42, 2 Cu 3.62
Tm (0.0000, 0.3667, 0.0568) [8 per cell]  5 Se 2.83-2.95, 1 Te 3.01
Cu (0.0000, 0.1657, 0.7500) [4 per cell]  2 Se 2.49, 2 Te 2.57
Te (0.0000, 0.4391, 0.2500) [4 per cell]  2 Cu 2.57
Se (0.0000, 0.0000, 0.0000) [4 per cell]  4 Tm 2.95
Se (0.0000, 0.2567, 0.6054) [8 per cell]  1 Cu 2.49

Output
VASP energy: -4.78 eV per atom

=====

No. 6
A plane-wave DFT calculation with GGA-PBE was carried out for a relaxed structure of RbTm2CuTe3Se.

Unit cell a=4.2952 b=14.9919 c=14.9979 alpha=90.00 beta=90.00 gamma=90.00
With the nearest neighbours (Å) after each atom.
Space group Cmcm (No. 63)
One atom of each set of equivalent atoms:
Rb (0.0000, 0.0997, 0.2500) [4 per cell]  2 Se 3.37, 4 Te 3.59
Tm (0.0000, 0.3664, 0.0731) [8 per cell]  1 Se 2.80, 5 Te 3.00-3.13
Cu (0.0000, 0.1595, 0.7500) [4 per cell]  2 Se 2.51, 2 Te 2.64
Te (0.0000, 0.0000, 0.0000) [4 per cell]  4 Tm 3.13
Te (0.0000, 0.2681, 0.6111) [8 per cell]  1 Cu 2.64
Se (0.0000, 0.4268, 0.2500) [4 per cell]  2 Cu 2.51, 2 Tm 2.80

Output
VASP energy: -4.51 eV per atom

=====

No. 7
A plane-wave DFT calculation with GGA-PBE was carried out for a relaxed structure of RbTm2Cu3Te4Se.

Unit cell a=4.2893 b=15.3709 c=17.6866 alpha=90.00 beta=90.00 gamma=90.00
With the nearest neighbours (Å) after each atom.
Space group Cmcm (No. 63)
One atom of each set of equivalent atoms:
Rb (0.0000, 0.0685, 0.2500) [4 per cell]  6 Te 3.48-3.64, 2 Se 3.59
Tm (0.0000, 0.1925, 0.5981) [8 per cell]  1 Se 2.80, 5 Te 3.04-3.10
Cu (0.0000, 0.3356, 0.2500) [4 per cell]  2 Se 2.47
Cu (0.0000, 0.4154, 0.5217) [8 per cell]  4 Te 2.61-2.81, 1 Cu 2.71
Te (0.0000, 0.1654, 0.0719) [8 per cell]  2 Cu 2.63
Te (0.0000, 0.4445, 0.1235) [8 per cell]  3 Cu 2.61-2.81
Se (0.0000, 0.2441, 0.7500) [4 per cell]  2 Cu 2.47

Output
VASP energy: -4.25 eV per atom

=====

No. 8
A plane-wave DFT calculation with GGA-PBE was carried out for a relaxed structure of Rb2Tm4Cu4Se9.

Unit cell a=14.3961 b=4.0919 c=16.4548 alpha=90.00 beta=108.95 gamma=90.00
With the nearest neighbours (Å) after each atom.
Space group C2/m (No. 12)
One atom of each set of equivalent atoms:
Rb (0.0324, 0.0000, 0.2720) [4 per cell]  7 Se 3.36-3.55
Tm (0.1543, 0.5000, 0.5565) [4 per cell]  6 Se 2.78-2.94
Tm (0.2298, 0.0000, 0.1025) [4 per cell]  6 Se 2.81-2.90
Cu (0.0749, 0.5000, 0.9694) [4 per cell]  4 Se 2.47-2.58, 1 Cu 2.66
Cu (0.2454, 0.0000, 0.7309) [4 per cell]  4 Se 2.44-2.60
Se (0.0000, 0.0000, 0.5000) [2 per cell]  4 Tm 2.94
Se (0.1067, 0.5000, 0.1275) [4 per cell]  3 Cu 2.49-2.60
Se (0.1399, 0.0000, 0.9233) [4 per cell]  2 Cu 2.47
Se (0.1512, 0.5000, 0.7245) [4 per cell]  2 Cu 2.44
Se (0.2041, 0.5000, 0.4003) [4 per cell]  1 Cu 2.49

Output
VASP energy: -4.75 eV per atom